# 1
## Y4AgAs (PBE-GGA)

Data for a geometry-optimized Y4AgAs structure.

CIF file:
```
data_Y4AgAs
_chemical_formula_sum 'Y16 Ag4 As4'
_cell_length_a 8.796
_cell_length_b 8.796
_cell_length_c 8.796
_cell_angle_alpha 90.00
_cell_angle_beta 90.00
_cell_angle_gamma 90.00
_space_group_name_H-M_alt 'F -4 3 m'
_space_group_IT_number 216
_space_group_name_Hall 'F -4 2 3'
loop_
_atom_site_label
_atom_site_fract_x
_atom_site_fract_y
_atom_site_fract_z
_atom_site_occupancy
Y1 0.125 0.125 0.125 1
Ag1 0.250 0.250 0.750 1
As1 0.000 0.000 0.500 1
```

Total DFT energy (no corrections): -5.185 eV/atom

# 2
## TbDy2Al (PBE-GGA)

Data for a geometry-optimized TbDy2Al structure.

CIF file:
```
data_TbDy2Al
_chemical_formula_sum 'Tb3 Dy6 Al3'
_cell_length_a 3.5813
_cell_length_b 3.5813
_cell_length_c 31.2394
_cell_angle_alpha 90.00
_cell_angle_beta 90.00
_cell_angle_gamma 120.00
_space_group_name_H-M_alt 'R 3 m'
_space_group_IT_number 160
_space_group_name_Hall 'R 3 -2"'
loop_
_atom_site_label
_atom_site_fract_x
_atom_site_fract_y
_atom_site_fract_z
_atom_site_occupancy
Tb1 0.0000 0.0000 0.0000 1
Dy1 0.0000 0.0000 0.5724 1
Dy2 0.0000 0.0000 0.7604 1
Al1 0.0000 0.0000 0.1661 1
```

Total DFT energy (no corrections): -4.464 eV/atom
Energy relative to the lowest polymorph listed for this composition: 129 meV/atom

# 3
## SrTl3Pd (PBE-GGA)

Data for a geometry-optimized SrTl3Pd structure.

CIF file:
```
data_SrTl3Pd
_chemical_formula_sum 'Sr1 Tl3 Pd1'
_cell_length_a 6.124
_cell_length_b 6.124
_cell_length_c 6.124
_cell_angle_alpha 90.00
_cell_angle_beta 90.00
_cell_angle_gamma 90.00
_space_group_name_H-M_alt 'P m -3 m'
_space_group_IT_number 221
_space_group_name_Hall '-P 4 2 3'
loop_
_atom_site_label
_atom_site_fract_x
_atom_site_fract_y
_atom_site_fract_z
_atom_site_occupancy
Sr1 0.000 0.000 0.000 1
Tl1 0.000 0.000 0.500 1
Pd1 0.500 0.500 0.500 1
```

Total DFT energy (no corrections): -1.851 eV/atom
Energy relative to the lowest polymorph listed for this composition: 1251 meV/atom

# 4
## PuAl3AgAu (PBE-GGA)

Data for a geometry-optimized PuAl3AgAu structure.

CIF file:
```
data_PuAl3AgAu
_chemical_formula_sum 'Pu4 Al12 Ag4 Au4'
_cell_length_a 5.912
_cell_length_b 13.805
_cell_length_c 5.867
_cell_angle_alpha 90.00
_cell_angle_beta 90.00
_cell_angle_gamma 90.00
_space_group_name_H-M_alt 'C m c m'
_space_group_IT_number 63
_space_group_name_Hall '-C 2c 2'
loop_
_atom_site_label
_atom_site_fract_x
_atom_site_fract_y
_atom_site_fract_z
_atom_site_occupancy
Pu1 0.000 0.186 0.250 1
Al1 0.000 0.373 0.750 1
Al2 0.216 0.000 0.000 1
Ag1 0.000 0.397 0.250 1
Au1 0.000 0.178 0.750 1
```

Total DFT energy (no corrections): -5.380 eV/atom

# 5
## Tb5ZrRu6 (PBE-GGA)

Data for a geometry-optimized Tb5ZrRu6 structure.

CIF file:
```
data_Tb5ZrRu6
_chemical_formula_sum 'Tb10 Zr2 Ru12'
_cell_length_a 8.293
_cell_length_b 14.335
_cell_length_c 4.808
_cell_angle_alpha 90.00
_cell_angle_beta 125.23
_cell_angle_gamma 90.00
_space_group_name_H-M_alt 'C 1 2/m 1'
_space_group_IT_number 12
loop_
_space_group_symop_operation_xyz
'x,y,z'
'-x,-y,-z'
'-x,y,-z'
'x,-y,z'
'x+1/2,y+1/2,z'
'-x+1/2,-y+1/2,-z'
'-x+1/2,y+1/2,-z'
'x+1/2,-y+1/2,z'
loop_
_atom_site_label
_atom_site_fract_x
_atom_site_fract_y
_atom_site_fract_z
_atom_site_occupancy
Tb1 0.000 0.000 0.000 1
Tb2 0.000 0.166 0.500 1
Tb3 0.000 0.333 0.000 1
Zr1 0.000 0.500 0.500 1
Ru1 0.237 0.500 0.238 1
Ru2 0.243 0.339 0.744 1
```

Total DFT energy (no corrections): -7.630 eV/atom

# 6
## LiPaCdRh (PBE-GGA)

Data for a geometry-optimized LiPaCdRh structure.

CIF file:
```
data_LiPaCdRh
_chemical_formula_sum 'Li4 Pa4 Cd4 Rh4'
_cell_length_a 6.722
_cell_length_b 6.722
_cell_length_c 6.722
_cell_angle_alpha 90.00
_cell_angle_beta 90.00
_cell_angle_gamma 90.00
_space_group_name_H-M_alt 'F -4 3 m'
_space_group_IT_number 216
_space_group_name_Hall 'F -4 2 3'
loop_
_atom_site_label
_atom_site_fract_x
_atom_site_fract_y
_atom_site_fract_z
_atom_site_occupancy
Li1 0.000 0.000 0.000 1
Pa1 0.250 0.250 0.250 1
Cd1 0.250 0.250 0.750 1
Rh1 0.000 0.000 0.500 1
```

Total DFT energy (no corrections): -5.098 eV/atom

# 7
## SrSmTl (PBE-GGA)

Data for a geometry-optimized SrSmTl structure.

CIF file:
```
data_SrSmTl
_chemical_formula_sum 'Sr2 Sm2 Tl2'
_cell_length_a 5.103
_cell_length_b 5.103
_cell_length_c 8.394
_cell_angle_alpha 90.00
_cell_angle_beta 90.00
_cell_angle_gamma 90.00
_space_group_name_H-M_alt 'P 4/n m m'
_space_group_IT_number 129
loop_
_space_group_symop_operation_xyz
'x,y,z'
'-x,-y,-z'
'-y+1/2,x,z'
'y+1/2,-x,-z'
'-x+1/2,-y+1/2,z'
'x+1/2,y+1/2,-z'
'y,-x+1/2,z'
'-y,x+1/2,-z'
'x+1/2,-y,-z'
'-x+1/2,y,z'
'-y,-x,-z'
'y,x,z'
'-x,y+1/2,-z'
'x,-y+1/2,z'
'y+1/2,x+1/2,-z'
'-y+1/2,-x+1/2,z'
loop_
_atom_site_label
_atom_site_fract_x
_atom_site_fract_y
_atom_site_fract_z
_atom_site_occupancy
Sr1 0.250 0.250 0.139 1
Sm1 0.250 0.750 0.500 1
Tl1 0.250 0.250 0.738 1
```

Total DFT energy (no corrections): -3.185 eV/atom

# 8
## YSeBr2 (PBE-GGA)

Data for a geometry-optimized YSeBr2 structure.

CIF file:
```
data_YSeBr2
_chemical_formula_sum 'Y2 Se2 Br4'
_cell_length_a 6.508
_cell_length_b 10.103
_cell_length_c 4.598
_cell_angle_alpha 90.00
_cell_angle_beta 133.91
_cell_angle_gamma 90.00
_space_group_name_H-M_alt 'C 1 2/m 1'
_space_group_IT_number 12
loop_
_space_group_symop_operation_xyz
'x,y,z'
'-x,-y,-z'
'-x,y,-z'
'x,-y,z'
'x+1/2,y+1/2,z'
'-x+1/2,-y+1/2,-z'
'-x+1/2,y+1/2,-z'
'x+1/2,-y+1/2,z'
loop_
_atom_site_label
_atom_site_fract_x
_atom_site_fract_y
_atom_site_fract_z
_atom_site_occupancy
Y1 0.000 0.000 0.000 1
Se1 0.000 0.500 0.000 1
Br1 0.250 0.250 0.500 1
```

Total DFT energy (no corrections): -4.161 eV/atom
Energy relative to the elements, uncorrected: -3.3 eV/f.u.
Energy relative to the lowest polymorph listed for this composition: 528 meV/atom

Question: Which of these has the highest total DFT energy (no corrections)?
Answer: SrTl3Pd